No. 1
This record from Alexandria describes a relaxed structure of Ce2ZnSi3Rh4. The functional is PBE.

Cell lengths 4.133, 4.133, 10.116 Å; angles 90.00, 90.00, 90.00 degrees
Each line ends with the local moment (μB).
Atoms (fractional coordinates):
Si 0.000 0.500 0.125  0.00
Si 0.000 0.000 0.500  0.00
Si 0.500 0.000 0.875  0.00
Ce 0.500 0.000 0.256  0.35
Ce 0.000 0.500 0.744  0.35
Rh 0.000 0.500 0.361  -0.01
Rh 0.500 0.000 0.639  -0.01
Rh 0.500 0.500 0.000  -0.01
Rh 0.000 0.000 0.000  -0.01
Zn 0.500 0.500 0.500  0.00

Output
Total magnetic moment in μB/cell: 0.85
Uncorrected formation energy in kJ per mole of atoms: -91


No. 2
This record from Alexandria describes a relaxed structure of CrSiAu2. The functional is PBE.

Cell lengths 4.057, 4.060, 3.934 Å; angles 90.00, 90.00, 90.00 degrees
Each line ends with the local moment (μB).
Atoms (fractional coordinates):
Si 0.000 0.500 0.500  -0.11
Au 0.000 0.000 0.000  0.00
Au 0.500 0.500 0.000  0.00
Cr 0.500 0.000 0.500  3.23

Output
Total magnetic moment in μB/cell: 3.26
Uncorrected formation energy in kJ per mole of atoms: 15